A relaxed PrY2Tl2 crystal. Source: the Alexandria database, functional PBE.

Lattice parameters (Å, degrees): 3.8320 5.4968 14.2706 90.00 97.73 90.00
With the nearest neighbours (Å) after each atom.
Positions (direct):
Pr (0.8538, 0.7500, 0.7053)  6 Tl 3.35-3.46, 2 Y 3.73
Pr (0.1462, 0.2500, 0.2947)  6 Tl 3.35-3.46, 2 Y 3.73
Y (0.0502, 0.7500, 0.1000)  8 Tl 3.29-3.35
Y (0.9498, 0.2500, 0.9000)  8 Tl 3.29-3.35
Y (0.2364, 0.7500, 0.4733)  2 Tl 3.23, 4 Y 3.43-3.44
Y (0.7636, 0.2500, 0.5267)  2 Tl 3.23, 4 Y 3.43-3.44
Tl (0.6446, 0.7500, 0.2895)  4 Y 3.23-3.30, 4 Pr 3.35
Tl (0.3554, 0.2500, 0.7105)  4 Y 3.23-3.30, 4 Pr 3.35
Tl (0.4539, 0.7500, 0.9089)  6 Y 3.31-3.35, 2 Pr 3.45-3.46
Tl (0.5461, 0.2500, 0.0911)  6 Y 3.31-3.35, 2 Pr 3.45-3.46

The theoretical density comes out at 8.1 g cm⁻³. The space-group type is No. 11. As for the formation enthalpy at 0 K: -0.302 eV/atom. The calculation puts the density of states at the Fermi level at 1.120 states/eV/atom. Its total magnetic moment is 0.0 μB/f.u. The total energy comes out at -4.790 eV/atom. The offset from the most stable computed form is 0.00 kJ/mol of atoms. Its crystal system is monoclinic.